# 1
First-principles (PBE-GGA) data for a relaxed LiCaPrIn crystal, as listed in Alexandria.

Cell: 7.726 7.726 7.726 Å, 90.00 90.00 90.00°
Space group F-43m (No. 216)
Inequivalent atoms, fractional coordinates:
Li (0.000, 0.000, 0.000) (multiplicity 4)
Ca (0.250, 0.250, 0.250) (multiplicity 4)
Pr (0.250, 0.250, 0.750) (multiplicity 4)
In (0.000, 0.000, 0.500) (multiplicity 4)

Calculated density ... 4.4 g cm⁻³
Calculated formation energy ... -0.296 eV per atom
Crystal system ... cubic

# 2
First-principles (PBE-GGA) data for a relaxed Ga2HgPdI crystal, as listed in Alexandria.

Cell: 5.009 5.009 5.383 Å, 90.00 90.00 90.00°
Space group P4/mmm (No. 123)
Inequivalent atoms, fractional coordinates:
Ga (0.000, 0.500, 0.000) (multiplicity 2)
Hg (0.000, 0.000, 0.500) (multiplicity 1)
Pd (0.000, 0.000, 0.000) (multiplicity 1)
I (0.500, 0.500, 0.500) (multiplicity 1)

Calculated density ... 7.1 g cm⁻³
Formation energy without anion corrections ... -1.14 eV per formula unit
Crystal system ... tetragonal

# 3
First-principles (PBE-GGA) data for a relaxed Er3Pb4F17 crystal, as listed in Alexandria.

Cell: 9.128 9.154 9.221 Å, 72.90 73.01 73.22°
Space group P1 (No. 1)
Inequivalent atoms, fractional coordinates:
Er (0.000, 0.000, 0.000) (multiplicity 1)
Er (0.055, 0.656, 0.787) (multiplicity 1)
Er (0.135, 0.284, 0.561) (multiplicity 1)
Er (0.337, 0.209, 0.931) (multiplicity 1)
Er (0.684, 0.426, 0.864) (multiplicity 1)
Er (0.920, 0.343, 0.228) (multiplicity 1)
Pb (0.203, 0.928, 0.350) (multiplicity 1)
Pb (0.256, 0.559, 0.133) (multiplicity 1)
Pb (0.410, 0.875, 0.717) (multiplicity 1)
Pb (0.480, 0.521, 0.499) (multiplicity 1)
Pb (0.566, 0.142, 0.285) (multiplicity 1)
Pb (0.625, 0.784, 0.090) (multiplicity 1)
Pb (0.781, 0.084, 0.663) (multiplicity 1)
Pb (0.822, 0.723, 0.431) (multiplicity 1)
F (0.013, 0.174, 0.444) (multiplicity 1)
F (0.034, 0.459, 0.356) (multiplicity 1)
F (0.068, 0.246, 0.932) (multiplicity 1)
F (0.068, 0.796, 0.214) (multiplicity 1)
F (0.081, 0.066, 0.738) (multiplicity 1)
F (0.122, 0.508, 0.612) (multiplicity 1)
F (0.166, 0.774, 0.906) (multiplicity 1)
F (0.183, 0.263, 0.155) (multiplicity 1)
F (0.252, 0.983, 0.996) (multiplicity 1)
F (0.262, 0.469, 0.850) (multiplicity 1)
F (0.267, 0.739, 0.606) (multiplicity 1)
F (0.317, 0.072, 0.471) (multiplicity 1)
F (0.326, 0.208, 0.693) (multiplicity 1)
F (0.346, 0.365, 0.377) (multiplicity 1)
F (0.380, 0.681, 0.260) (multiplicity 1)
F (0.442, 0.031, 0.139) (multiplicity 1)
F (0.476, 0.328, 0.038) (multiplicity 1)
F (0.504, 0.638, 0.944) (multiplicity 1)
F (0.541, 0.797, 0.385) (multiplicity 1)
F (0.544, 0.999, 0.850) (multiplicity 1)
F (0.561, 0.308, 0.755) (multiplicity 1)
F (0.608, 0.607, 0.655) (multiplicity 1)
F (0.654, 0.958, 0.533) (multiplicity 1)
F (0.705, 0.270, 0.415) (multiplicity 1)
F (0.735, 0.391, 0.096) (multiplicity 1)
F (0.743, 0.554, 0.305) (multiplicity 1)
F (0.782, 0.910, 0.177) (multiplicity 1)
F (0.784, 0.166, 0.938) (multiplicity 1)
F (0.830, 0.600, 0.812) (multiplicity 1)
F (0.876, 0.357, 0.663) (multiplicity 1)
F (0.882, 0.862, 0.885) (multiplicity 1)
F (0.939, 0.100, 0.212) (multiplicity 1)
F (0.974, 0.835, 0.575) (multiplicity 1)
F (0.985, 0.549, 0.045) (multiplicity 1)

Calculated density ... 8.0 g cm⁻³
Formation energy without anion corrections ... -78.97 eV per formula unit
Crystal system ... triclinic

# 4
First-principles (PBE-GGA) data for a relaxed LaS2N crystal, as listed in Alexandria.

Cell: 5.132 5.132 13.053 Å, 90.00 90.00 90.00°
Space group I-42d (No. 122)
Inequivalent atoms, fractional coordinates:
La (0.000, 0.000, 0.000) (multiplicity 4)
S (0.129, 0.250, 0.625) (multiplicity 8)
N (0.000, 0.000, 0.500) (multiplicity 4)

Calculated density ... 4.2 g cm⁻³
Formation energy without anion corrections ... 0.25 eV per formula unit
Crystal system ... tetragonal

> Which of these has the highest calculated density?

Er3Pb4F17

> Among the records above, which one has the lowest calculated density?

LaS2N

> Among the records above, which one has the highest calculated density?

Er3Pb4F17